1.
VASP calculation (PBE) on CrAs2Cl after structural relaxation.

Values from the calculation:
Its energy above the most stable polymorph in this dataset is 241 meV/atom. Its total energy is -20.73 eV/cell. Its volume is 74 Å³/f.u. Its total magnetic moment is 2.4 μB per cell.

a = 3.3286 Å, b = 3.1915 Å, c = 6.9430 Å
α = 90.00°, β = 90.00°, γ = 90.00°
Last column: nearest neighbours and their distance in Å.
Element x y z (fractional)
1 Cr 0.5000 0.5000 0.7500  8 As 2.66
2 As 0.0000 0.0000 0.5599  1 As 2.64, 4 Cr 2.66
3 As 0.0000 0.0000 0.9401  1 As 2.64, 4 Cr 2.66
4 Cl 0.5000 0.5000 0.2500  8 As 3.15, 4 Cl 3.19-3.33, 2 Cr 3.47


2.
VASP calculation (PBE) on TlTcNi2Pd after structural relaxation.

Values from the calculation:
Its total energy is -24.17 eV/cell. Its volume is 101 Å³/f.u. Its total magnetic moment is 0.0 μB per cell.

a = 4.5337 Å, b = 4.9091 Å, c = 4.5337 Å
α = 90.00°, β = 90.00°, γ = 90.00°
Last column: nearest neighbours and their distance in Å.
Element x y z (fractional)
1 Ni 0.0000 0.0000 0.5000  2 Tc 2.27
2 Ni 0.5000 0.0000 0.0000  2 Tc 2.27
3 Tl 0.5000 0.5000 0.5000  4 Pd 3.21, 8 Ni 3.34
4 Tc 0.0000 0.0000 0.0000  4 Ni 2.27, 2 Pd 2.45
5 Pd 0.0000 0.5000 0.0000  2 Tc 2.45


3.
VASP calculation (PBE) on RbSnSbO6 after structural relaxation.

Values from the calculation:
Its total energy is -49.25 eV/cell. Its volume is 168 Å³/f.u. Its total magnetic moment is 2.1 μB per cell.

a = 5.6740 Å, b = 5.6740 Å, c = 6.0121 Å
α = 89.47°, β = 90.47°, γ = 60.26°
Last column: nearest neighbours and their distance in Å.
Element x y z (fractional)
1 O 0.4097 0.9908 0.6732  1 Sb 2.02, 1 Sn 2.11
2 O 0.9910 0.4099 0.3267  1 Sb 2.02, 1 Sn 2.11
3 O 0.9888 0.6000 0.6720  1 Sb 2.03, 1 Sn 2.10
4 O 0.6002 0.9889 0.3281  1 Sb 2.03, 1 Sn 2.10
5 O 0.6002 0.4098 0.7016  1 Sb 1.98, 1 Sn 2.06
6 O 0.4100 0.6004 0.2983  1 Sb 1.98, 1 Sn 2.06
7 Rb 0.0002 0.0003 0.0000  6 O 2.90-3.05
8 Sb 0.6560 0.6560 0.5000  6 O 1.98-2.03
9 Sn 0.3438 0.3438 0.5000  6 O 2.06-2.11